No. 1
{"formula": "NaSrB2Ru", "functional": "PBEsol", "state": "optimized geometry", "lattice": [[-0.2665, 4.8040, -1.2640], [-4.2723, 0.4242, 2.5130], [2.5102, 1.2084, 4.0635]], "species": ["B", "B", "Na", "Sr", "Ru"], "fractional_positions": [[0.5000, 0.0000, 0.0000], [0.0000, 0.5000, 0.0000], [0.5000, 0.5000, 0.5000], [0.0000, 0.0000, 0.0000], [0.0000, 0.0000, 0.5000]], "final_energy_ev_per_atom": -2.901, "spacegroup": "No. 123", "e_form_ev_per_atom": 2.588}

***

No. 2
{"formula": "NaBS3", "functional": "PBEsol", "state": "optimized geometry", "lattice": [[4.8876, 0.0000, 0.0000], [0.0000, 4.8876, 0.0000], [0.0000, 0.0000, 4.8876]], "species": ["S", "S", "S", "Na", "B"], "fractional_positions": [[0.5000, 0.0000, 0.0000], [0.0000, 0.5000, 0.0000], [0.0000, 0.0000, 0.5000], [0.0000, 0.0000, 0.0000], [0.5000, 0.5000, 0.5000]], "final_energy_ev_per_atom": -2.498, "spacegroup": "No. 221", "formation_energy_uncorrected_ev_per_atom": 1.82}

***

No. 3
{"formula": "NaB3S", "functional": "PBEsol", "state": "optimized geometry", "lattice": [[-1.1740, 4.1675, 1.0311], [0.9597, -0.7871, 4.2742], [4.1845, 1.3498, -0.6910]], "species": ["B", "B", "B", "Na", "S"], "fractional_positions": [[0.5000, 0.0000, 0.0000], [0.0000, 0.5000, 0.0000], [0.0000, 0.0000, 0.5000], [0.0000, 0.0000, 0.0000], [0.5000, 0.5000, 0.5000]], "final_energy_ev_per_atom": -2.394, "spacegroup": "No. 221", "formation_energy_uncorrected_ev_per_atom": 2.97}

***

No. 4
{"formula": "NaBS2", "functional": "PBEsol", "state": "optimized geometry", "lattice": [[3.1709, 0.0000, 0.0000], [1.5854, 2.7461, 0.0000], [1.5854, 0.9154, 7.4865]], "species": ["S", "S", "B", "Na"], "fractional_positions": [[0.8845, 0.8845, 0.3466], [0.1155, 0.1155, 0.6534], [0.5000, 0.5000, 0.5000], [0.0000, 0.0000, 0.0000]], "final_energy_ev_per_atom": -4.260, "spacegroup": "No. 166", "formation_energy_uncorrected_ev_per_atom": 0.04}